No. 1
BaZn2Au2 | PBE-GGA | relaxed

Unit cell a=6.1114 b=6.1114 c=6.1114 alpha=134.15 beta=134.15 gamma=66.86
Positions (direct):
Ba: 0.0000 0.0000 0.0000
Zn: 0.3705 0.3705 0.0000
Zn: 0.6295 0.6295 0.0000
Au: 0.2500 0.7500 0.5000
Au: 0.7500 0.2500 0.5000

Computed properties:
**E above lowest polymorph**: 35 meV/atom
**Crystal system**: tetragonal

No. 2
KNi | PBE-GGA | relaxed

Unit cell a=5.2602 b=5.2602 c=8.5433 alpha=90.00 beta=90.00 gamma=120.00
Positions (direct):
K: 0.3333 0.6667 0.0000
K: 0.6667 0.3333 0.5000
Ni: 0.3333 0.6667 0.3762
Ni: 0.6667 0.3333 0.8762

Computed properties:
**E above lowest polymorph**: 735 meV/atom
**Crystal system**: hexagonal

No. 3
MgNbTlS3 | PBE-GGA | relaxed

Unit cell a=7.7046 b=3.6659 c=10.2399 alpha=90.00 beta=106.07 gamma=90.00
Positions (direct):
Mg: 0.0464 0.2500 0.1209
Mg: 0.9536 0.7500 0.8791
Nb: 0.0257 0.7500 0.3900
Nb: 0.9743 0.2500 0.6100
Tl: 0.4922 0.7500 0.2069
Tl: 0.5078 0.2500 0.7931
S: 0.1617 0.2500 0.9146
S: 0.2005 0.7500 0.6267
S: 0.2437 0.2500 0.3462
S: 0.7563 0.7500 0.6538
S: 0.7995 0.2500 0.3733
S: 0.8383 0.7500 0.0854

Computed properties:
**E above lowest polymorph**: 0 meV/atom
**Crystal system**: monoclinic

No. 4
LiRe2B | PBE-GGA | relaxed

Unit cell a=4.0756 b=4.0756 c=4.0756 alpha=60.00 beta=60.00 gamma=60.00
Positions (direct):
Li: 0.0000 0.0000 0.0000
Re: 0.2500 0.2500 0.2500
Re: 0.5000 0.5000 0.5000
B: 0.7500 0.7500 0.7500

Computed properties:
**Crystal system**: cubic

No. 5
ZrSi | PBE-GGA | relaxed

Unit cell a=5.0268 b=2.8638 c=5.0263 alpha=90.00 beta=90.00 gamma=90.00
Positions (direct):
Zr: 0.2500 0.0000 0.2491
Zr: 0.7500 0.0000 0.7509
Si: 0.2500 0.5000 0.7487
Si: 0.7500 0.5000 0.2513

Computed properties:
**Crystal system**: orthorhombic

No. 6
CsTbPrTe3 | PBE-GGA | relaxed

Unit cell a=9.0400 b=9.0400 c=12.2184 alpha=90.00 beta=90.00 gamma=148.58
Positions (direct):
Cs: 0.2433 0.7567 0.7500
Cs: 0.7567 0.2433 0.2500
Tb: 0.0325 0.9675 0.2500
Tb: 0.9675 0.0325 0.7500
Pr: 0.5000 0.5000 0.0000
Pr: 0.5000 0.5000 0.5000
Te: 0.1231 0.8769 0.0476
Te: 0.1231 0.8769 0.4524
Te: 0.4358 0.5642 0.2500
Te: 0.5642 0.4358 0.7500
Te: 0.8769 0.1231 0.5476
Te: 0.8769 0.1231 0.9524

Computed properties:
**E above lowest polymorph**: 0 meV/atom
**Crystal system**: orthorhombic

no.,total energy (eV per atom),density (kg/m³)
1,-2.67,9508
2,-1.95,1586
3,-5.29,4992
4,-8.01,13534
5,-7.47,5476
6,-4.56,5203